Below is an optimized crystal structure of FeAuSe2, with properties calculated at the GGA-PBE level.

Structure (extended XYZ):
```
4
Lattice="1.7586 1.0153 7.4826 -1.7586 1.0153 7.4826 0.0000 -2.0306 7.4826" Properties=species:S:1:pos:R:3 pbc="T T T"
Fe 0.0000 0.0000 0.0000
Au 0.0000 0.0000 11.2239
Se 0.0000 0.0000 8.7489
Se 0.0000 0.0000 13.6988
```

Summary:
- Calculated total energy: -4.8059 eV per atom
- Formation energy without anion corrections: -0.129 eV/atom



Below is an optimized crystal structure of Fe3AuSe, with properties calculated at the GGA-PBE level.

Structure (extended XYZ):
```
5
Lattice="4.7762 0.0000 0.0000 0.0000 4.7762 0.0000 0.0000 0.0000 4.7762" Properties=species:S:1:pos:R:3 pbc="T T T"
Fe 0.0000 0.0000 2.3881
Fe 0.0000 2.3881 0.0000
Fe 2.3881 0.0000 0.0000
Au 0.0000 0.0000 0.0000
Se 2.3881 2.3881 2.3881
```

Summary:
- Calculated total energy: -5.2171 eV per atom
- Formation energy without anion corrections: 1.213 eV/atom
- Distance to the lowest polymorph of the same formula: 572 meV per atom



Below is an optimized crystal structure of FeAuSe2, with properties calculated at the GGA-PBE level.

Structure (extended XYZ):
```
4
Lattice="-2.2091 2.2091 3.6902 2.2091 -2.2091 3.6902 2.2091 2.2091 -3.6902" Properties=species:S:1:pos:R:3 pbc="T T T"
Fe 0.0000 0.0000 0.0000
Au 0.0000 0.0000 3.6902
Se 2.2091 0.0000 1.8451
Se 0.0000 2.2091 1.8451
```

Summary:
- Calculated total energy: -4.2144 eV per atom
- Formation energy without anion corrections: 0.463 eV/atom



Below is an optimized crystal structure of FeAuSe2, with properties calculated at the GGA-PBE level.

Structure (extended XYZ):
```
4
Lattice="2.8764 0.0000 0.0000 0.0000 2.8764 0.0000 0.0000 0.0000 8.9733" Properties=species:S:1:pos:R:3 pbc="T T T"
Fe 0.0000 0.0000 0.0000
Au 0.0000 0.0000 4.4866
Se 1.4382 1.4382 1.5539
Se 1.4382 1.4382 7.4194
```

Summary:
- Calculated total energy: -4.4778 eV per atom
- Formation energy without anion corrections: 0.199 eV/atom